A plane-wave DFT calculation with GGA-PBE was carried out for crystalline Dy2YHo6Tm3 at its relaxed geometry.

Symmetry   No. 12
ΔE_f   22 meV per atom
Calculated volume   30.9 Å³/atom
E   -4.690 eV/atom

Structure (extended XYZ):
```
12
Lattice="3.052 -5.279 0.000 3.052 5.279 0.000 -2.025 0.000 11.493" Properties=species:S:1:pos:R:3 pbc="T T T"
Dy 3.052 3.519 0.000
Dy 3.052 -3.519 0.000
Y 3.052 0.000 0.000
Ho 0.002 1.763 8.600
Ho 1.018 0.000 2.894
Ho 0.002 -1.763 8.600
Ho 4.076 1.763 2.893
Ho 3.060 0.000 8.599
Ho 4.076 -1.763 2.893
Tm -1.013 0.000 5.747
Tm 2.039 1.759 5.747
Tm 2.039 -1.759 5.747
```